Density functional theory data (GGA-PBE) for a geometry-optimized TmScIrPd structure.

Results
energy of formation from the pure elements	-0.968	eV/atom
V	18.7	A^3/atom

abc: 4.730 4.730 4.730
angles: 60.00 60.00 60.00
Fractional coordinates of all 4 atoms:
Tm (0.000, 0.000, 0.000)
Sc (0.500, 0.500, 0.500)
Ir (0.250, 0.250, 0.250)
Pd (0.750, 0.750, 0.750)